# Si2Ge2Au | the Alexandria database | PBE-GGA | relaxed
# Fermi-level density of states, states/eV per atom: 0.3211
# Energy relative to the elements, uncorrected, eV/atom: 0.283
# Theoretical density, Mg/m³: 7.02
data_Si2Ge2Au
_chemical_formula_sum 'Si4 Ge4 Au2'
_symmetry_space_group_name_H-M 'P 4/m b m'
_symmetry_Int_Tables_number 127
_symmetry_space_group_name_Hall '-P 4 2ab'
_cell_length_a 6.540
_cell_length_b 6.540
_cell_length_c 4.406
_cell_angle_alpha 90.00
_cell_angle_beta 90.00
_cell_angle_gamma 90.00
loop_
_atom_site_label
_atom_site_type_symbol
_atom_site_fract_x
_atom_site_fract_y
_atom_site_fract_z
_atom_site_occupancy
Si1 Si 0.129 0.371 0.000 1
Ge1 Ge 0.220 0.720 0.500 1
Au1 Au 0.000 0.000 0.000 1

# Si2GeAu2 | the Alexandria database | PBE-GGA | relaxed
# Fermi-level density of states, states/eV per atom: 0.6400
# Energy relative to the elements, uncorrected, eV/atom: 0.336
# Theoretical density, Mg/m³: 9.52
data_Si2GeAu2
_chemical_formula_sum 'Si4 Ge2 Au4'
_symmetry_space_group_name_H-M 'P 4/m b m'
_symmetry_Int_Tables_number 127
_symmetry_space_group_name_Hall '-P 4 2ab'
_cell_length_a 7.605
_cell_length_b 7.605
_cell_length_c 3.152
_cell_angle_alpha 90.00
_cell_angle_beta 90.00
_cell_angle_gamma 90.00
loop_
_atom_site_label
_atom_site_type_symbol
_atom_site_fract_x
_atom_site_fract_y
_atom_site_fract_z
_atom_site_occupancy
Si1 Si 0.175 0.325 0.000 1
Ge1 Ge 0.000 0.000 0.000 1
Au1 Au 0.133 0.633 0.500 1

# SiGeAu4 | the Alexandria database | PBE-GGA | relaxed
# Fermi-level density of states, states/eV per atom: 0.3287
# Energy relative to the elements, uncorrected, eV/atom: 0.047
# Theoretical density, Mg/m³: 11.83
data_SiGeAu4
_chemical_formula_sum 'Si4 Ge4 Au16'
_symmetry_space_group_name_H-M 'P 1 21/c 1'
_symmetry_Int_Tables_number 14
_cell_length_a 8.385
_cell_length_b 7.238
_cell_length_c 8.473
_cell_angle_alpha 90.00
_cell_angle_beta 103.96
_cell_angle_gamma 90.00
loop_
_symmetry_equiv_pos_as_xyz
'x,y,z'
'-x,-y,-z'
'-x,y+1/2,-z+1/2'
'x,-y+1/2,z+1/2'
loop_
_atom_site_label
_atom_site_type_symbol
_atom_site_fract_x
_atom_site_fract_y
_atom_site_fract_z
_atom_site_occupancy
Si1 Si 0.212 0.246 0.304 1
Ge1 Ge 0.456 0.737 0.116 1
Au1 Au 0.005 0.502 0.189 1
Au2 Au 0.076 0.174 0.020 1
Au3 Au 0.349 0.562 0.833 1
Au4 Au 0.357 0.548 0.352 1

# SiGe2Au | the Alexandria database | PBE-GGA | relaxed
# Fermi-level density of states, states/eV per atom: 0.3273
# Energy relative to the elements, uncorrected, eV/atom: 0.284
# Theoretical density, Mg/m³: 7.06
data_SiGe2Au
_chemical_formula_sum 'Si3 Ge6 Au3'
_symmetry_space_group_name_H-M 'R -3 m'
_symmetry_Int_Tables_number 166
_symmetry_space_group_name_Hall '-R 3 2"'
_cell_length_a 3.5821
_cell_length_b 3.5821
_cell_length_c 23.5259
_cell_angle_alpha 90.00
_cell_angle_beta 90.00
_cell_angle_gamma 120.00
loop_
_atom_site_label
_atom_site_type_symbol
_atom_site_fract_x
_atom_site_fract_y
_atom_site_fract_z
_atom_site_occupancy
Si1 Si 0.0000 0.0000 0.0000 1
Ge1 Ge 0.0000 0.0000 0.3952 1
Au1 Au 0.0000 0.0000 0.5000 1

# Si2GeAu | the Alexandria database | PBE-GGA | relaxed
# Fermi-level density of states, states/eV per atom: 0.4909
# Energy relative to the elements, uncorrected, eV/atom: 0.201
# Theoretical density, Mg/m³: 6.09
data_Si2GeAu
_chemical_formula_sum 'Si8 Ge4 Au4'
_symmetry_space_group_name_H-M 'I -4 2 d'
_symmetry_Int_Tables_number 122
_symmetry_space_group_name_Hall 'I -4 2bw'
_cell_length_a 5.650
_cell_length_b 5.650
_cell_length_c 11.124
_cell_angle_alpha 90.00
_cell_angle_beta 90.00
_cell_angle_gamma 90.00
loop_
_atom_site_label
_atom_site_type_symbol
_atom_site_fract_x
_atom_site_fract_y
_atom_site_fract_z
_atom_site_occupancy
Si1 Si 0.249 0.250 0.125 1
Ge1 Ge 0.000 0.000 0.000 1
Au1 Au 0.000 0.000 0.500 1

# Si2SnGeAu | the Alexandria database | PBE-GGA | relaxed
# Fermi-level density of states, states/eV per atom: 0.5383
# Energy relative to the elements, uncorrected, eV/atom: 0.716
# Theoretical density, Mg/m³: 6.34
data_Si2SnGeAu
_chemical_formula_sum 'Si2 Sn1 Ge1 Au1'
_symmetry_space_group_name_H-M 'P 4/m m m'
_symmetry_Int_Tables_number 123
_symmetry_space_group_name_Hall '-P 4 2'
_cell_length_a 4.820
_cell_length_b 4.820
_cell_length_c 5.012
_cell_angle_alpha 90.00
_cell_angle_beta 90.00
_cell_angle_gamma 90.00
loop_
_atom_site_label
_atom_site_type_symbol
_atom_site_fract_x
_atom_site_fract_y
_atom_site_fract_z
_atom_site_occupancy
Si1 Si 0.000 0.500 0.000 1
Sn1 Sn 0.000 0.000 0.500 1
Ge1 Ge 0.500 0.500 0.000 1
Au1 Au 0.500 0.500 0.500 1

# Sr3SiGe2Au6 | the Alexandria database | PBE-GGA | relaxed
# Fermi-level density of states, states/eV per atom: 0.2985
# Energy relative to the elements, uncorrected, eV/atom: -0.513
# Theoretical density, Mg/m³: 8.80
data_Sr3SiGe2Au6
_chemical_formula_sum 'Sr3 Si1 Ge2 Au6'
_symmetry_space_group_name_H-M 'P -3 m 1'
_symmetry_Int_Tables_number 164
_symmetry_space_group_name_Hall '-P 3 2"'
_cell_length_a 6.6464
_cell_length_b 6.6464
_cell_length_c 7.9815
_cell_angle_alpha 90.00
_cell_angle_beta 90.00
_cell_angle_gamma 120.00
loop_
_atom_site_label
_atom_site_type_symbol
_atom_site_fract_x
_atom_site_fract_y
_atom_site_fract_z
_atom_site_occupancy
Sr1 Sr 0.0000 0.0000 0.0000 1
Sr2 Sr 0.3333 0.6667 0.6903 1
Si1 Si 0.0000 0.0000 0.5000 1
Ge1 Ge 0.3333 0.6667 0.0946 1
Au1 Au 0.1772 0.3545 0.3240 1

# Sr2SiGe2Au4 | the Alexandria database | PBE-GGA | relaxed
# Fermi-level density of states, states/eV per atom: 0.4526
# Energy relative to the elements, uncorrected, eV/atom: -0.450
# Theoretical density, Mg/m³: 9.01
data_Sr2SiGe2Au4
_chemical_formula_sum 'Sr4 Si2 Ge4 Au8'
_symmetry_space_group_name_H-M 'I 4/m m m'
_symmetry_Int_Tables_number 139
_symmetry_space_group_name_Hall '-I 4 2'
_cell_length_a 6.538
_cell_length_b 6.538
_cell_length_c 9.796
_cell_angle_alpha 90.00
_cell_angle_beta 90.00
_cell_angle_gamma 90.00
loop_
_atom_site_label
_atom_site_type_symbol
_atom_site_fract_x
_atom_site_fract_y
_atom_site_fract_z
_atom_site_occupancy
Sr1 Sr 0.000 0.500 0.250 1
Si1 Si 0.000 0.000 0.000 1
Ge1 Ge 0.000 0.000 0.335 1
Au1 Au 0.238 0.238 0.500 1

# Sr2SiGeAu6 | the Alexandria database | PBE-GGA | relaxed
# Fermi-level density of states, states/eV per atom: 0.3821
# Energy relative to the elements, uncorrected, eV/atom: -0.514
# Theoretical density, Mg/m³: 10.47
data_Sr2SiGeAu6
_chemical_formula_sum 'Sr4 Si2 Ge2 Au12'
_symmetry_space_group_name_H-M 'P m m n'
_symmetry_Int_Tables_number 59
_cell_length_a 7.080
_cell_length_b 9.300
_cell_length_c 7.023
_cell_angle_alpha 90.00
_cell_angle_beta 90.00
_cell_angle_gamma 90.00
loop_
_symmetry_equiv_pos_as_xyz
'x,y,z'
'-x,-y,-z'
'-x+1/2,-y+1/2,z'
'x+1/2,y+1/2,-z'
'x+1/2,-y,-z'
'-x+1/2,y,z'
'-x,y+1/2,-z'
'x,-y+1/2,z'
loop_
_atom_site_label
_atom_site_type_symbol
_atom_site_fract_x
_atom_site_fract_y
_atom_site_fract_z
_atom_site_occupancy
Sr1 Sr 0.250 0.011 0.238 1
Si1 Si 0.250 0.250 0.601 1
Ge1 Ge 0.250 0.750 0.896 1
Au1 Au 0.045 0.250 0.908 1
Au2 Au 0.052 0.750 0.552 1
Au3 Au 0.250 0.000 0.734 1

# ZrSiGeAu2 | the Alexandria database | PBE-GGA | relaxed
# Fermi-level density of states, states/eV per atom: 0.4183
# Energy relative to the elements, uncorrected, eV/atom: 0.153
# Theoretical density, Mg/m³: 8.90
data_ZrSiGeAu2
_chemical_formula_sum 'Zr1 Si1 Ge1 Au2'
_symmetry_space_group_name_H-M 'P 4/m m m'
_symmetry_Int_Tables_number 123
_symmetry_space_group_name_Hall '-P 4 2'
_cell_length_a 4.627
_cell_length_b 4.627
_cell_length_c 5.105
_cell_angle_alpha 90.00
_cell_angle_beta 90.00
_cell_angle_gamma 90.00
loop_
_atom_site_label
_atom_site_type_symbol
_atom_site_fract_x
_atom_site_fract_y
_atom_site_fract_z
_atom_site_occupancy
Zr1 Zr 0.000 0.000 0.000 1
Si1 Si 0.000 0.000 0.500 1
Ge1 Ge 0.500 0.500 0.000 1
Au1 Au 0.000 0.500 0.500 1